Record 1
First-principles (PBE-GGA) data for a relaxed Sm6HgIr2I3 crystal, as listed in Alexandria via LeMat-Bulk.

POSCAR file:
```
Sm6HgIr2I3
1.0
3.684 -6.375 0.000
3.684 6.375 0.000
-2.458 0.000 8.048
Sm Hg Ir I
6 1 2 3
Cartesian
-0.112 2.306 6.510
1.017 0.000 1.524
-0.112 -2.306 6.510
5.022 2.306 1.538
3.893 0.000 6.524
5.022 -2.306 1.538
3.684 0.000 0.000
3.684 4.244 0.000
3.684 -4.244 0.000
-1.229 0.000 4.024
2.455 2.085 4.024
2.455 -2.085 4.024
```

Output
- symmetry = C2/m, No. 12
- formation energy (no corrections) (meV per atom) = -872

Record 2
First-principles (PBE-GGA) data for a relaxed NaGaBiPb crystal, as listed in Alexandria via LeMat-Bulk.

POSCAR file:
```
NaGaBiPb
1.0
7.702 0.000 0.000
0.000 7.702 0.000
0.000 0.000 7.702
Na Ga Bi Pb
4 4 4 4
Cartesian
0.000 0.000 0.000
0.000 3.851 3.851
3.851 0.000 3.851
3.851 3.851 0.000
1.925 1.925 1.925
1.925 5.776 5.776
5.776 1.925 5.776
5.776 5.776 1.925
1.925 1.925 5.776
1.925 5.776 1.925
5.776 1.925 1.925
5.776 5.776 5.776
0.000 0.000 3.851
0.000 3.851 0.000
3.851 0.000 0.000
3.851 3.851 3.851
```

Output
- raw total energy (eV per atom) = -3.01
- symmetry = F-43m, No. 216

Record 3
First-principles (PBE-GGA) data for a relaxed Er6Mg7 crystal, as listed in Alexandria via LeMat-Bulk.

POSCAR file:
```
Er6Mg7
1.0
2.989 1.725 11.226
-2.989 1.725 11.226
0.000 -3.451 11.226
Er Mg
6 7
Cartesian
0.000 0.000 1.585
0.000 0.000 5.085
0.000 0.000 11.256
0.000 0.000 22.422
0.000 0.000 28.593
0.000 0.000 32.093
-1.511 -0.872 14.336
0.000 -1.745 19.342
-1.511 0.872 19.342
0.000 0.000 16.839
1.511 -0.872 14.336
0.000 1.745 14.336
1.511 0.872 19.342
```

Output
- raw total energy (eV per atom) = -2.99
- symmetry = R-3m, No. 166

Record 4
First-principles (PBE-GGA) data for a relaxed CsTi5Te8 crystal, as listed in Alexandria via LeMat-Bulk.

POSCAR file:
```
CsTi5Te8
1.0
10.348 -1.949 0.000
10.348 1.949 0.000
-2.514 0.000 9.591
Cs Ti Te
1 5 8
Cartesian
0.000 0.000 0.000
1.920 0.000 4.889
2.182 0.000 8.081
9.091 0.000 4.795
16.000 0.000 1.509
16.263 0.000 4.701
-0.223 0.000 6.537
4.427 0.000 3.236
6.974 0.000 0.005
6.817 0.000 6.447
11.366 0.000 3.143
11.208 0.000 9.586
13.755 0.000 6.355
18.406 0.000 3.053
```

Output
- symmetry = C2/m, No. 12
- formation energy (no corrections) (meV per atom) = -780

Record 5
First-principles (PBE-GGA) data for a relaxed YMo2P2 crystal, as listed in Alexandria via LeMat-Bulk.

POSCAR file:
```
YMo2P2
1.0
4.598 0.000 0.000
0.000 4.598 0.000
0.000 0.000 8.575
Y Mo P
2 4 4
Cartesian
0.000 0.000 0.000
2.299 2.299 4.287
0.000 0.000 3.147
0.000 0.000 5.427
2.299 2.299 1.140
2.299 2.299 7.435
0.000 2.299 2.144
0.000 2.299 6.431
2.299 0.000 2.144
2.299 0.000 6.431
```

Output
- raw total energy (eV per atom) = -8.28
- symmetry = I4/mmm, No. 139

Record 6
First-principles (PBE-GGA) data for a relaxed TbY2Pu crystal, as listed in Alexandria via LeMat-Bulk.

POSCAR file:
```
TbY2Pu
1.0
7.941 0.000 0.000
0.000 7.941 0.000
0.000 0.000 7.941
Tb Y Pu
4 8 4
Cartesian
0.000 0.000 0.000
0.000 3.971 3.971
3.971 0.000 3.971
3.971 3.971 0.000
1.985 1.985 1.985
1.985 1.985 5.956
1.985 5.956 1.985
1.985 5.956 5.956
5.956 1.985 1.985
5.956 1.985 5.956
5.956 5.956 1.985
5.956 5.956 5.956
0.000 0.000 3.971
0.000 3.971 0.000
3.971 0.000 0.000
3.971 3.971 3.971
```

Output
- symmetry = Fm-3m, No. 225
- energy above the lowest structure with this stoichiometry (meV/atom) = 103

Record 7
First-principles (PBE-GGA) data for a relaxed TbSm2Sb crystal, as listed in Alexandria via LeMat-Bulk.

POSCAR file:
```
TbSm2Sb
1.0
4.031 0.000 0.000
-2.016 3.491 0.000
0.000 0.000 29.230
Tb Sm Sb
3 6 3
Cartesian
0.000 0.000 0.000
0.000 2.328 19.487
2.016 1.164 9.743
0.000 0.000 6.862
0.000 0.000 22.368
0.000 2.328 12.624
0.000 2.328 26.349
2.016 1.164 2.881
2.016 1.164 16.606
0.000 0.000 14.615
0.000 2.328 4.872
2.016 1.164 24.358
```

Output
- symmetry = R-3m, No. 166
- formation energy (no corrections) (meV per atom) = -308
- energy above the lowest structure with this stoichiometry (meV/atom) = 240

Record 8
First-principles (PBE-GGA) data for a relaxed Ba2MoIr crystal, as listed in Alexandria via LeMat-Bulk.

POSCAR file:
```
Ba2MoIr
1.0
7.827 0.000 0.000
0.000 7.827 0.000
0.000 0.000 7.827
Ba Mo Ir
8 4 4
Cartesian
1.957 1.957 1.957
1.957 1.957 5.870
1.957 5.870 1.957
1.957 5.870 5.870
5.870 1.957 1.957
5.870 1.957 5.870
5.870 5.870 1.957
5.870 5.870 5.870
0.000 0.000 0.000
0.000 3.913 3.913
3.913 0.000 3.913
3.913 3.913 0.000
0.000 0.000 3.913
0.000 3.913 0.000
3.913 0.000 0.000
3.913 3.913 3.913
```

Output
- symmetry = Fm-3m, No. 225
- energy above the lowest structure with this stoichiometry (meV/atom) = 684

Record 9
First-principles (PBE-GGA) data for a relaxed Sr2TaS5 crystal, as listed in Alexandria via LeMat-Bulk.

POSCAR file:
```
Sr2TaS5
1.0
8.667 0.000 0.000
0.000 11.103 0.000
-3.707 0.000 4.309
Sr Ta S
4 2 10
Cartesian
0.000 2.516 0.000
0.000 8.587 0.000
4.333 3.036 0.000
4.333 8.068 0.000
-1.919 5.552 2.840
2.414 0.000 2.840
0.653 5.552 2.765
2.510 5.552 0.739
0.224 0.000 3.538
2.346 2.233 2.002
2.346 8.870 2.002
4.986 0.000 2.765
6.843 0.000 0.739
4.558 5.552 3.538
6.680 3.318 2.002
6.680 7.785 2.002
```

Output
- symmetry = Cm, No. 8
- formation energy (no corrections) (meV per atom) = -1368

Record 10
First-principles (PBE-GGA) data for a relaxed Pm2ErSn3 crystal, as listed in Alexandria via LeMat-Bulk.

POSCAR file:
```
Pm2ErSn3
1.0
4.233 -7.797 0.000
4.233 7.797 0.000
-3.195 0.000 5.284
Pm Er Sn
4 2 6
Cartesian
1.837 6.630 3.963
3.435 4.143 1.321
1.837 -4.143 3.963
3.435 -6.630 1.321
1.837 1.430 3.963
3.435 -1.430 1.321
0.519 3.899 2.642
2.250 1.274 0.271
0.652 -1.274 2.913
2.117 -3.899 0.000
4.619 1.274 2.370
3.021 -1.274 5.012
```

Output
- raw total energy (eV per atom) = -4.97
- symmetry = C2/c, No. 15

Record 11
First-principles (PBE-GGA) data for a relaxed AcTb2Ho5 crystal, as listed in Alexandria via LeMat-Bulk.

POSCAR file:
```
AcTb2Ho5
1.0
7.183 0.000 0.000
0.000 20.175 0.000
0.000 0.000 7.196
Ac Tb Ho
4 8 20
Cartesian
1.799 2.531 0.000
1.793 12.618 0.000
5.390 7.557 0.000
5.384 17.645 0.000
0.000 0.000 1.841
0.000 0.000 5.355
1.791 12.615 3.598
1.801 2.527 3.598
3.591 10.088 1.841
3.591 10.088 5.355
5.382 17.648 3.598
5.392 7.560 3.598
0.000 10.088 1.842
0.000 10.088 5.354
0.004 5.046 1.843
0.004 5.046 5.353
1.799 7.561 0.000
1.798 7.562 3.598
1.792 17.649 0.000
1.793 17.650 3.598
3.587 15.134 1.843
3.587 15.134 5.353
3.591 0.000 1.842
3.591 0.000 5.354
3.595 5.042 1.843
3.595 5.042 5.353
5.390 2.527 0.000
5.389 2.526 3.598
5.384 12.614 0.000
5.385 12.613 3.598
7.179 15.130 1.843
7.179 15.130 5.353
```

Output
- raw total energy (eV per atom) = -4.50
- symmetry = Pbam, No. 55

Record 12
First-principles (PBE-GGA) data for a relaxed Ti3AgF crystal, as listed in Alexandria via LeMat-Bulk.

POSCAR file:
```
Ti3AgF
1.0
4.988 0.000 0.000
0.000 4.988 0.000
0.000 0.000 4.988
Ti Ag F
3 1 1
Cartesian
0.000 0.000 2.494
0.000 2.494 0.000
2.494 0.000 0.000
0.000 0.000 0.000
2.494 2.494 2.494
```

Output
- symmetry = Pm-3m, No. 221
- formation energy (no corrections) (meV per atom) = 899
- energy above the lowest structure with this stoichiometry (meV/atom) = 1377

Record 13
First-principles (PBE-GGA) data for a relaxed Cu5Te3Se12 crystal, as listed in Alexandria via LeMat-Bulk.

POSCAR file:
```
Cu5Te3Se12
1.0
-7.749 7.749 7.749
7.749 -7.749 7.749
7.749 7.749 -7.749
Cu Te Se
20 12 48
Cartesian
0.000 0.000 0.000
3.874 3.874 -3.874
3.874 -3.874 3.874
7.749 0.000 0.000
11.623 1.937 0.000
7.749 -3.874 5.812
5.812 7.749 -3.874
5.812 0.000 3.874
3.874 5.812 0.000
7.749 3.874 1.937
-3.874 3.874 3.874
0.000 7.749 0.000
0.000 0.000 7.749
3.874 3.874 3.874
0.000 3.874 5.812
3.874 1.937 7.749
1.937 7.749 3.874
1.937 0.000 11.623
0.000 11.623 1.937
-3.874 5.812 7.749
3.874 1.937 0.000
7.749 3.874 -1.937
1.937 0.000 3.874
9.686 0.000 3.874
0.000 3.874 1.937
3.874 -1.937 7.749
3.874 9.686 0.000
7.749 3.874 5.812
-1.937 7.749 3.874
5.812 7.749 3.874
0.000 3.874 9.686
3.874 5.812 7.749
2.314 -0.429 0.888
9.309 4.762 -4.304
10.063 0.429 0.888
9.309 -2.987 4.304
7.319 -0.888 2.314
12.052 -1.561 2.987
0.888 2.314 -0.429
10.735 3.445 -1.561
4.762 4.304 -1.561
6.861 2.314 0.429
-0.429 0.888 2.314
4.304 -1.561 4.762
7.319 6.861 -2.314
4.304 1.561 2.987
4.762 -4.304 9.309
6.861 -2.314 7.319
2.987 4.304 1.561
8.637 5.435 0.429
4.304 9.309 -2.987
7.319 0.888 5.435
2.314 7.319 -0.888
9.309 2.987 3.445
1.561 2.987 4.304
2.314 0.429 6.861
5.435 7.319 0.888
6.188 4.762 3.445
-1.561 4.762 4.304
5.435 0.429 8.637
0.429 6.861 2.314
3.445 -1.561 10.735
-0.888 2.314 7.319
4.762 3.445 6.188
0.888 10.063 0.429
2.987 12.052 -1.561
3.445 6.188 4.762
0.429 0.888 10.063
3.445 9.309 2.987
8.178 6.861 5.435
0.888 5.435 7.319
2.987 3.445 9.309
-2.987 4.304 9.309
6.861 5.435 8.178
-4.304 9.309 4.762
0.429 8.637 5.435
-1.561 10.735 3.445
-2.314 7.319 6.861
-1.561 2.987 12.052
5.435 8.178 6.861
```

Output
- symmetry = Ia-3d, No. 230
- formation energy (no corrections) (meV per atom) = 96

Record 14
First-principles (PBE-GGA) data for a relaxed KAlSn2S6 crystal, as listed in Alexandria via LeMat-Bulk.

POSCAR file:
```
KAlSn2S6
1.0
7.033 -6.299 0.000
7.033 6.299 0.000
-3.470 0.000 6.392
K Al Sn S
2 2 4 12
Cartesian
4.431 4.031 4.794
6.166 -4.031 1.598
6.166 2.159 1.598
4.431 -2.159 4.794
0.108 1.162 5.621
1.843 -1.162 2.425
8.754 1.162 3.967
10.489 -1.162 0.771
1.611 0.376 0.414
4.069 3.031 1.867
-0.124 -0.376 3.610
2.470 1.026 6.020
8.263 3.031 1.329
4.205 -1.026 2.824
6.392 1.026 3.568
2.334 -3.031 5.063
8.127 -1.026 0.372
10.721 0.376 2.782
6.528 -3.031 4.525
8.986 -0.376 5.978
```

Output
- symmetry = C2/c, No. 15
- formation energy (no corrections) (meV per atom) = -681

Record 15
First-principles (PBE-GGA) data for a relaxed V2Ga3Co3 crystal, as listed in Alexandria via LeMat-Bulk.

POSCAR file:
```
V2Ga3Co3
1.0
2.992 0.000 0.000
0.000 3.984 0.000
0.000 0.000 16.510
V Ga Co
4 6 6
Cartesian
0.000 0.000 4.051
0.000 0.000 12.460
1.496 1.992 4.204
1.496 1.992 12.306
0.000 0.000 0.000
0.000 1.992 2.040
0.000 1.992 14.471
1.496 0.000 6.215
1.496 0.000 10.295
1.496 1.992 8.255
0.000 0.000 8.255
0.000 1.992 6.217
0.000 1.992 10.294
1.496 0.000 2.038
1.496 0.000 14.472
1.496 1.992 0.000
```

Output
- raw total energy (eV per atom) = -6.35
- symmetry = Immm, No. 71

Record 16
First-principles (PBE-GGA) data for a relaxed KCu2Ag crystal, as listed in Alexandria via LeMat-Bulk.

POSCAR file:
```
KCu2Ag
1.0
10.153 0.000 0.000
0.000 3.301 0.000
-1.973 0.000 5.648
K Cu Ag
2 4 2
Cartesian
0.000 0.000 0.000
5.077 1.650 0.000
-0.852 1.650 2.827
0.721 0.000 3.508
4.225 0.000 2.827
5.798 1.650 3.508
2.285 1.650 2.286
7.361 0.000 2.286
```

Output
- symmetry = Cm, No. 8
- energy above the lowest structure with this stoichiometry (meV/atom) = 26

Record 17
First-principles (PBE-GGA) data for a relaxed PmAgSe crystal, as listed in Alexandria via LeMat-Bulk.

POSCAR file:
```
PmAgSe
1.0
2.392 1.381 8.142
-2.392 1.381 8.142
0.000 -2.762 8.142
Pm Ag Se
2 2 2
Cartesian
0.000 0.000 2.081
0.000 0.000 22.347
0.000 0.000 8.105
0.000 0.000 16.322
0.000 0.000 5.166
0.000 0.000 19.261
```

Output
- symmetry = R-3m, No. 166
- formation energy (no corrections) (meV per atom) = -1021

Record 18
First-principles (PBE-GGA) data for a relaxed Ag3H4Pd2 crystal, as listed in Alexandria via LeMat-Bulk.

POSCAR file:
```
Ag3H4Pd2
1.0
5.340 -1.512 0.000
5.340 1.512 0.000
-1.981 0.000 6.568
Ag H Pd
3 4 2
Cartesian
0.000 0.000 0.000
3.692 0.000 1.916
5.008 0.000 4.652
0.834 0.000 3.054
2.064 0.000 6.152
6.636 0.000 0.416
7.865 0.000 3.514
2.135 0.000 4.434
6.565 0.000 2.134
```

Output
- raw total energy (eV per atom) = -3.50
- symmetry = C2/m, No. 12

Record 19
First-principles (PBE-GGA) data for a relaxed LiCuBr crystal, as listed in Alexandria via LeMat-Bulk.

POSCAR file:
```
LiCuBr
1.0
3.432 0.000 0.000
0.000 3.432 0.000
0.000 0.000 10.234
Li Cu Br
2 2 2
Cartesian
0.000 0.000 0.000
1.716 1.716 5.117
0.000 0.000 3.548
1.716 1.716 8.665
0.000 0.000 6.123
1.716 1.716 1.007
```

Output
- symmetry = I4mm, No. 107
- formation energy (no corrections) (meV per atom) = -158
- energy above the lowest structure with this stoichiometry (meV/atom) = 129

Record 20
First-principles (PBE-GGA) data for a relaxed RbAgSnHg2 crystal, as listed in Alexandria via LeMat-Bulk.

POSCAR file:
```
RbAgSnHg2
1.0
5.572 0.000 0.000
0.000 5.572 0.000
0.000 0.000 5.427
Rb Ag Sn Hg
1 1 1 2
Cartesian
0.000 0.000 0.000
2.786 2.786 2.714
2.786 2.786 0.000
0.000 2.786 2.714
2.786 0.000 2.714
```

Output
- symmetry = P4/mmm, No. 123
- energy above the lowest structure with this stoichiometry (meV/atom) = 46